# Sc2CrRe (PBE, relaxed)
data_Sc2CrRe
_chemical_formula_sum 'Sc4 Cr2 Re2'
_symmetry_space_group_name_H-M 'I m m 2'
_symmetry_Int_Tables_number 44
_cell_length_a 3.212
_cell_length_b 4.678
_cell_length_c 9.397
_cell_angle_alpha 90.00
_cell_angle_beta 90.00
_cell_angle_gamma 90.00
loop_
_symmetry_equiv_pos_as_xyz
'x,y,z'
'-x,-y,z'
'-x,y,z'
'x,-y,z'
'x+1/2,y+1/2,z+1/2'
'-x+1/2,-y+1/2,z+1/2'
'-x+1/2,y+1/2,z+1/2'
'x+1/2,-y+1/2,z+1/2'
loop_
_atom_site_label
_atom_site_fract_x
_atom_site_fract_y
_atom_site_fract_z
Sc1 0.000 0.000 0.000
Sc2 0.000 0.500 0.223
Cr1 0.000 0.500 0.770
Re1 0.000 0.000 0.455
# Excess energy over the best structure of this formula in the dataset ... 28 meV per atom
# Calculated total energy ... -8.673 eV/atom
# Calculated volume ... 141 Å³ per cell
# E_form ... 10.9 meV/atom